DFT (PBE-GGA) results for a relaxed structure of Tl4BiPb3.

a b c (Å): 23.991 5.969 3.560
angles (deg): 90.00 98.50 90.00
Space group C2/m (No. 12)
Symmetry-distinct sites (fractional):
Tl1 0.125 0.000 0.129 x4
Tl2 0.248 0.500 0.247 x4
Bi1 0.000 0.000 0.500 x2
Pb1 0.000 0.500 0.000 x2
Pb2 0.123 0.500 0.623 x4

Output
energy above the lowest structure with this stoichiometry	0.27	eV/f.u.
calculated density	10.9	Mg/m³
E_form	0.029	eV per atom